No. 1
Entry from Alexandria: TlSb3Br after structural relaxation (PBE-GGA).

Lattice parameters (Å, degrees): 5.6333 5.6333 5.6333 90.00 90.00 90.00
Space group Pm-3m (No. 221)
Unique sites:
Tl (0.0000, 0.0000, 0.0000) (multiplicity 1)
Sb (0.0000, 0.5000, 0.5000) (multiplicity 3)
Br (0.5000, 0.5000, 0.5000) (multiplicity 1)

For the total energy, the calculation gives -2.54 eV per atom. As for the crystal system: cubic. As for the energy above the most stable polymorph in this dataset: 0.0 meV/atom. The formation energy (no corrections) is 0.7380 eV/atom. For the magnetization, the calculation gives 0.000 μB/atom.

No. 2
Entry from Alexandria: Nd4Ge2SbH after structural relaxation (PBE-GGA).

Lattice parameters (Å, degrees): 4.2731 14.0055 14.6410 90.00 90.00 90.00
Space group Cmcm (No. 63)
Unique sites:
Nd (0.0000, 0.0000, 0.0000) (multiplicity 4)
Nd (0.0000, 0.2706, 0.1210) (multiplicity 8)
Nd (0.0000, 0.4367, 0.7500) (multiplicity 4)
Ge (0.0000, 0.3660, 0.5604) (multiplicity 8)
Sb (0.0000, 0.1088, 0.7500) (multiplicity 4)
H (0.0000, 0.1586, 0.2500) (multiplicity 4)

For the total energy, the calculation gives -5.30 eV per atom. As for the crystal system: orthorhombic. For the magnetization, the calculation gives 0.000 μB/atom.

No. 3
Entry from Alexandria: PrAs2Au after structural relaxation (PBE-GGA).

Lattice parameters (Å, degrees): 4.6087 4.6087 4.1086 90.00 90.00 90.00
Space group P4/mmm (No. 123)
Unique sites:
Pr (0.0000, 0.0000, 0.0000) (multiplicity 1)
As (0.0000, 0.5000, 0.5000) (multiplicity 2)
Au (0.5000, 0.5000, 0.0000) (multiplicity 1)

For the total energy, the calculation gives -4.94 eV per atom. As for the crystal system: tetragonal. The value obtained for the calculated formation energy is -13.9 kcal/mol of atoms. For the magnetization, the calculation gives 0.000 μB/atom.

No. 4
Entry from Alexandria: Pr2CuGe after structural relaxation (PBE-GGA).

Lattice parameters (Å, degrees): 5.1503 5.1503 3.7381 90.00 90.00 90.00
Space group P4/mmm (No. 123)
Unique sites:
Pr (0.0000, 0.5000, 0.0000) (multiplicity 2)
Cu (0.0000, 0.0000, 0.5000) (multiplicity 1)
Ge (0.5000, 0.5000, 0.5000) (multiplicity 1)

For the total energy, the calculation gives -4.97 eV per atom. As for the crystal system: tetragonal. The value obtained for the calculated formation energy is -9.4 kcal/mol of atoms. For the magnetization, the calculation gives 0.000 μB/atom.

No. 5
Entry from Alexandria: RbMgMn2Br8 after structural relaxation (PBE-GGA).

Lattice parameters (Å, degrees): 6.8987 6.8987 9.6717 90.00 90.00 120.00
Space group P-3 (No. 147)
Unique sites:
Rb (0.0000, 0.0000, 0.0000) (multiplicity 1)
Mg (0.0000, 0.0000, 0.5000) (multiplicity 1)
Mn (0.3333, 0.6667, 0.7309) (multiplicity 2)
Br (0.0044, 0.6863, 0.3341) (multiplicity 6)
Br (0.3333, 0.6667, 0.9782) (multiplicity 2)

For the total energy, the calculation gives -3.88 eV per atom. As for the crystal system: trigonal. The formation energy (no corrections) is -1.0253 eV/atom. For the magnetization, the calculation gives 0.750 μB/atom.

No. 6
Entry from Alexandria: Er4SnTe5 after structural relaxation (PBE-GGA).

Lattice parameters (Å, degrees): 19.4680 4.2255 9.0514 90.00 106.48 90.00
Space group C2/m (No. 12)
Unique sites:
Er (0.0046, 0.0000, 0.2409) (multiplicity 4)
Er (0.1727, 0.5000, 0.5811) (multiplicity 4)
Sn (0.0000, 0.5000, 0.5000) (multiplicity 2)
Te (0.0000, 0.5000, 0.0000) (multiplicity 2)
Te (0.1530, 0.0000, 0.8029) (multiplicity 4)
Te (0.1670, 0.0000, 0.3317) (multiplicity 4)

For the total energy, the calculation gives -4.86 eV per atom. As for the crystal system: monoclinic. The formation energy (no corrections) is -1.0671 eV/atom. For the magnetization, the calculation gives 0.000 μB/atom.